Computed, not measured: a crystal of La6Mn9Al5 relaxed with PBEsol at the meta-GGA SCAN level of DFT.

Values from the calculation:
spin magnetization = 0.047 μB per atom
energy of formation = -0.303 eV/atom
DFT total energy = -935.51 eV for the cell shown

Structure (POSCAR):
```
La6Mn9Al5
1.0
-4.089 4.089 11.685
4.089 -4.089 11.685
4.089 4.089 -11.685
La Mn Al
12 18 10
direct
0.014 0.514 0.150 La
0.106 0.106 0.000 La
0.135 0.986 0.500 La
0.365 0.865 0.850 La
0.394 0.394 0.000 La
0.486 0.635 0.500 La
0.514 0.365 0.500 La
0.606 0.606 0.000 La
0.635 0.135 0.150 La
0.865 0.014 0.500 La
0.894 0.894 0.000 La
0.986 0.486 0.850 La
0.000 0.500 0.500 Mn
0.073 0.215 0.288 Mn
0.125 0.625 0.854 Mn
0.215 0.927 0.143 Mn
0.229 0.729 0.854 Mn
0.271 0.125 0.500 Mn
0.285 0.427 0.712 Mn
0.375 0.229 0.500 Mn
0.427 0.715 0.143 Mn
0.500 0.000 0.500 Mn
0.573 0.285 0.857 Mn
0.625 0.771 0.500 Mn
0.715 0.573 0.288 Mn
0.729 0.875 0.500 Mn
0.771 0.271 0.146 Mn
0.785 0.073 0.857 Mn
0.875 0.375 0.146 Mn
0.927 0.785 0.712 Mn
0.023 0.289 0.500 Al
0.211 0.477 0.500 Al
0.250 0.250 0.000 Al
0.289 0.789 0.266 Al
0.477 0.977 0.266 Al
0.523 0.023 0.734 Al
0.711 0.211 0.734 Al
0.750 0.750 0.000 Al
0.789 0.523 0.500 Al
0.977 0.711 0.500 Al
```


Computed, not measured: a crystal of Zn2CdRe relaxed with PBEsol at the meta-GGA SCAN level of DFT.

Values from the calculation:
spin magnetization = 0.273 μB per atom
energy of formation = 0.687 eV/atom
DFT total energy = -125.79 eV for the cell shown

Structure (POSCAR):
```
Zn2CdRe
1.0
0.000 3.133 3.133
3.133 0.000 3.133
3.133 3.133 0.000
Zn Cd Re
2 1 1
direct
0.000 0.000 0.000 Zn
0.250 0.250 0.250 Zn
0.750 0.750 0.750 Cd
0.500 0.500 0.500 Re
```


Computed, not measured: a crystal of Y2WF relaxed with PBEsol at the meta-GGA SCAN level of DFT.

Values from the calculation:
spin magnetization = 0.000 μB per atom
formation energy from raw total energies = -0.13 eV/f.u.
DFT total energy = -129.04 eV for the cell shown

Structure (POSCAR):
```
Y2WF
1.0
0.000 3.407 3.407
3.407 0.000 3.407
3.407 3.407 0.000
Y W F
2 1 1
direct
0.250 0.250 0.250 Y
0.750 0.750 0.750 Y
0.000 0.000 0.000 W
0.500 0.500 0.500 F
```


Computed, not measured: a crystal of SiTe2 relaxed with PBEsol at the meta-GGA SCAN level of DFT.

Values from the calculation:
spin magnetization = 0.000 μB per atom
formation energy from raw total energies = 1.58 eV/f.u.
DFT total energy = -82.94 eV for the cell shown

Structure (POSCAR):
```
SiTe2
1.0
-1.793 1.793 5.484
1.793 -1.793 5.484
1.793 1.793 -5.484
Si Te
1 2
direct
0.000 0.000 0.000 Si
0.353 0.353 0.000 Te
0.647 0.647 0.000 Te
```


Computed, not measured: a crystal of SbAs2SeN relaxed with PBEsol at the meta-GGA SCAN level of DFT.

Values from the calculation:
spin magnetization = 0.172 μB per atom
formation energy from raw total energies = 8.72 eV/f.u.
DFT total energy = -98.30 eV for the cell shown

Structure (POSCAR):
```
SbAs2SeN
1.0
5.291 0.000 0.000
0.000 5.291 0.000
0.000 0.000 5.284
Sb As Se N
1 2 1 1
direct
0.000 0.000 0.000 Sb
0.000 0.500 0.000 As
0.500 0.000 0.000 As
0.000 0.000 0.500 Se
0.500 0.500 0.500 N
```


Computed, not measured: a crystal of YHPt3 relaxed with PBEsol at the meta-GGA SCAN level of DFT.

Values from the calculation:
spin magnetization = 0.000 μB per atom
DFT total energy = -245.87 eV for the cell shown

Structure (POSCAR):
```
YHPt3
1.0
4.115 0.000 0.000
0.000 4.115 0.000
0.000 0.000 4.115
Y H Pt
1 1 3
direct
0.000 0.000 0.000 Y
0.500 0.500 0.500 H
0.000 0.500 0.500 Pt
0.500 0.000 0.500 Pt
0.500 0.500 0.000 Pt
```


Please write out number 6 again, unchanged.
Computed, not measured: a crystal of YHPt3 relaxed with PBEsol at the meta-GGA SCAN level of DFT.

Values from the calculation:
spin magnetization = 0.000 μB per atom
DFT total energy = -245.87 eV for the cell shown

Structure (POSCAR):
```
YHPt3
1.0
4.115 0.000 0.000
0.000 4.115 0.000
0.000 0.000 4.115
Y H Pt
1 1 3
direct
0.000 0.000 0.000 Y
0.500 0.500 0.500 H
0.000 0.500 0.500 Pt
0.500 0.000 0.500 Pt
0.500 0.500 0.000 Pt
```